Density functional theory data (PBE) for an optimized crystal structure of Pr2ErTmSe5. Values from VASP.

Cell and atoms, written as Quantum ESPRESSO input:
```
&SYSTEM
  ibrav = 0, nat = 9, ntyp = 4
/
ATOMIC_SPECIES
Pr 140.91 Pr.upf
Er 167.26 Er.upf
Tm 168.93 Tm.upf
Se 78.96 Se.upf
CELL_PARAMETERS angstrom
5.069 0.000 0.000
0.000 5.069 0.000
0.000 0.000 10.674
ATOMIC_POSITIONS crystal
Pr 0.000 0.000 0.203
Pr 0.000 0.000 0.797
Er 0.500 0.500 0.500
Tm 0.500 0.500 0.000
Se 0.000 0.000 0.500
Se 0.000 0.500 0.000
Se 0.500 0.000 0.000
Se 0.500 0.500 0.255
Se 0.500 0.500 0.745
```

Computed properties:
M_tot, μB/f.u.: 0.00
Theoretical density, g cm⁻³: 6.13
ΔE_f (raw), meV per atom: -1312



Density functional theory data (PBE) for an optimized crystal structure of PrEr3Tm2Se6. Values from VASP.

Cell and atoms, written as Quantum ESPRESSO input:
```
&SYSTEM
  ibrav = 0, nat = 12, ntyp = 4
/
ATOMIC_SPECIES
Pr 140.91 Pr.upf
Er 167.26 Er.upf
Tm 168.93 Tm.upf
Se 78.96 Se.upf
CELL_PARAMETERS angstrom
3.515 -6.119 0.000
3.515 6.119 0.000
-2.342 0.000 6.645
ATOMIC_POSITIONS crystal
Pr 0.000 0.000 0.000
Er 0.156 0.844 0.500
Er 0.500 0.500 0.500
Er 0.844 0.156 0.500
Tm 0.335 0.665 0.000
Tm 0.665 0.335 0.000
Se 0.085 0.435 0.258
Se 0.265 0.265 0.750
Se 0.435 0.085 0.258
Se 0.565 0.915 0.742
Se 0.735 0.735 0.250
Se 0.915 0.565 0.742
```

Computed properties:
M_tot, μB/f.u.: 0.00
Theoretical density, g cm⁻³: 8.45
ΔE_f (raw), meV per atom: -1707



Density functional theory data (PBE) for an optimized crystal structure of Pr2ErTmSe4. Values from VASP.

Cell and atoms, written as Quantum ESPRESSO input:
```
&SYSTEM
  ibrav = 0, nat = 8, ntyp = 4
/
ATOMIC_SPECIES
Pr 140.91 Pr.upf
Er 167.26 Er.upf
Tm 168.93 Tm.upf
Se 78.96 Se.upf
CELL_PARAMETERS angstrom
7.057 0.000 0.000
0.000 4.055 0.000
-2.335 0.000 7.056
ATOMIC_POSITIONS crystal
Pr 0.000 0.000 0.000
Pr 0.500 0.500 0.000
Er 0.000 0.500 0.500
Tm 0.500 0.000 0.500
Se 0.243 0.000 0.728
Se 0.259 0.500 0.273
Se 0.741 0.500 0.727
Se 0.757 0.000 0.272
```

Computed properties:
M_tot, μB/f.u.: 0.00
Theoretical density, g cm⁻³: 7.68
ΔE_f (raw), meV per atom: -1774